Entry 1:
Here is a relaxed structure of NaCdAsPt from OQMD via LeMat-Bulk. Energies are from GGA-PBE.

Cell: 4.755 4.755 4.755 Å, 60.00 60.00 60.00°
Atoms (fractional coordinates):
Na1 0.000 0.000 0.000
Cd1 0.500 0.500 0.500
As1 0.750 0.750 0.750
Pt1 0.250 0.250 0.250

V	76	Å³/cell
offset from the most stable computed form	0.163	eV per atom
magnetization	0.00	μB per cell
total energy	-3.2488	eV per atom

***

Entry 2:
Here is a relaxed structure of NaCdAsS3 from OQMD via LeMat-Bulk. Energies are from GGA-PBE.

Cell: 5.704 16.609 8.050 Å, 90.00 134.39 90.00°
Atoms (fractional coordinates):
Na1 0.201 0.075 0.234
Na2 0.201 0.425 0.734
Na3 0.799 0.575 0.266
Na4 0.799 0.925 0.766
Cd1 0.245 0.749 0.746
Cd2 0.245 0.751 0.246
Cd3 0.755 0.249 0.754
Cd4 0.755 0.251 0.254
As1 0.279 0.099 0.768
As2 0.279 0.401 0.268
As3 0.721 0.599 0.732
As4 0.721 0.901 0.232
S1 0.185 0.237 0.717
S2 0.185 0.263 0.217
S3 0.363 0.596 0.774
S4 0.363 0.904 0.274
S5 0.371 0.599 0.338
S6 0.371 0.901 0.838
S7 0.629 0.099 0.162
S8 0.629 0.401 0.662
S9 0.637 0.096 0.726
S10 0.637 0.404 0.226
S11 0.815 0.737 0.783
S12 0.815 0.763 0.283

V	545	Å³/cell
total energy	-3.8105	eV per atom

***

no.,ρ (Mg/m³)
1,8.86
2,3.74